BaCdAu2 GGA-PBE optimized geometry; space group = F-43m; E_tot = -2.678 eV per atom
1.0
-3.314 -1.934 3.684
-4.802 2.188 0.670
-4.364 -2.657 -1.480
Au Ba Cd
2 1 1
Direct
0.000 0.000 0.000 Au
0.250 0.250 0.250 Au
0.750 0.750 0.750 Ba
0.500 0.500 0.500 Cd